First-principles (PBE-GGA) data for a geometry-optimized LuTc4Sn structure, as listed in Alexandria via LeMat-Bulk.

Summary:
SG: F-43m
ΔH_f (0 K) in eV/f.u.: -0.2

Lattice parameters (Å, degrees): 5.288 5.288 5.288 60.00 60.00 60.00
Fractional coordinates of all 6 atoms:
Lu 0.250 0.250 0.250
Sn 0.000 0.000 0.000
Tc 0.626 0.626 0.123
Tc 0.626 0.123 0.626
Tc 0.626 0.626 0.626
Tc 0.123 0.626 0.626